Version 1
{
  "formula": "PrAl2Ag6",
  "functional": "PBE",
  "state": "optimized geometry",
  "magnetic_moment_mub_per_fu": 0.0,
  "sg": "Fd-3m",
  "dos_ef_per_ev_cell": 11.21,
  "lattice": [[-7.0473, -4.4837, 1.1971], [-0.8021, -4.8479, 6.8598], [-5.4046, 2.1837, 6.1011]],
  "species": ["Al", "Al", "Al", "Al", "Ag", "Ag", "Ag", "Ag", "Ag", "Ag", "Ag", "Ag", "Ag", "Ag", "Ag", "Ag", "Pr", "Pr"],
  "fractional_positions": [[0.1250, 0.6250, 0.1250], [0.1250, 0.1250, 0.1250], [0.6250, 0.1250, 0.1250], [0.1250, 0.1250, 0.6250], [0.4954, 0.0046, 0.4954], [0.0046, 0.4954, 0.0046], [0.0046, 0.4954, 0.4954], [0.0046, 0.0046, 0.4954], [0.4954, 0.0046, 0.0046], [0.2454, 0.7546, 0.2454], [0.2454, 0.7546, 0.7546], [0.7546, 0.2454, 0.2454], [0.7546, 0.7546, 0.2454], [0.4954, 0.4954, 0.0046], [0.7546, 0.2454, 0.7546], [0.2454, 0.2454, 0.7546], [0.5000, 0.5000, 0.5000], [0.7500, 0.7500, 0.7500]]
}

---

Version 2
{
  "formula": "PrAl2Ag6",
  "functional": "PBE",
  "state": "optimized geometry",
  "magnetic_moment_mub_per_fu": 0.0,
  "sg": "P4/mmm",
  "dos_ef_per_ev_cell": 5.01,
  "lattice": [[-0.3006, -2.0560, -3.8449], [1.3107, -3.7184, 1.8859], [-8.8931, -2.1885, 1.8655]],
  "species": ["Ag", "Ag", "Ag", "Ag", "Ag", "Ag", "Al", "Al", "Pr"],
  "fractional_positions": [[0.5000, 0.5000, 0.5000], [0.0000, 0.5000, 0.2917], [0.0000, 0.0000, 0.5000], [0.5000, 0.0000, 0.7083], [0.0000, 0.5000, 0.7083], [0.5000, 0.0000, 0.2917], [0.5000, 0.5000, 0.1366], [0.5000, 0.5000, 0.8634], [0.0000, 0.0000, 0.0000]]
}

---

It is version 1 that is the least stable of them.